(1)
Below is Pr2BeAl3Cu12 after structural relaxation, with properties calculated at the PBE-GGA level.

a = 6.2426 Å, b = 6.2426 Å, c = 26.0179 Å
α = 90.00°, β = 90.00°, γ = 120.00°
Space group R-3m (No. 166, hexagonal axes)
Symmetry-distinct sites (fractional):
Pr1 0.0000 0.0000 0.1564 x6
Be1 0.0000 0.0000 0.5000 x3
Al1 0.0000 0.5000 0.0000 x9
Cu1 0.0652 0.5326 0.0985 x18
Cu2 0.0722 0.5361 0.6149 x18

Results
As for the energy relative to the elements: 0.093 eV/atom. The value obtained for the calculated total energy is -4.000 eV per atom.



(2)
Below is BeAlCuPt2 after structural relaxation, with properties calculated at the PBE-GGA level.

a = 4.536 Å, b = 4.536 Å, c = 4.232 Å
α = 90.00°, β = 90.00°, γ = 90.00°
Space group P4/mmm (No. 123)
Symmetry-distinct sites (fractional):
Be1 0.000 0.000 0.000 x1
Al1 0.000 0.000 0.500 x1
Cu1 0.500 0.500 0.000 x1
Pt1 0.000 0.500 0.500 x2

Results
As for the energy relative to the elements: 0.665 eV/atom. The value obtained for the calculated total energy is -4.064 eV per atom.